# 1
Density functional theory data (PBEsol) for an optimized crystal structure of CaBe2Pt2.

Lattice parameters (Å, degrees): 3.9172 3.9172 10.0267 90.00 90.00 90.00
Last column: nearest neighbours and their distance in Å.
Space group I4/mmm (No. 139)
Inequivalent atoms, fractional coordinates:
1 Ca 0.0000 0.0000 0.0000 (multiplicity 2)  8 Pt 3.08, 8 Be 3.18
2 Be 0.0000 0.5000 0.2500 (multiplicity 4)  4 Pt 2.28
3 Pt 0.0000 0.0000 0.3666 (multiplicity 4)  4 Be 2.28

Summary:
* DOS(E_F): 0.393 states/eV/atom
* calculated formation energy: -661 meV/atom
* calculated total energy: -0.2011 hartree per atom
* crystal system: tetragonal



# 2
Density functional theory data (PBEsol) for an optimized crystal structure of YHg2As.

Lattice parameters (Å, degrees): 4.1412 4.1412 5.1373 90.00 90.00 90.00
Last column: nearest neighbours and their distance in Å.
Space group P4/mmm (No. 123)
Inequivalent atoms, fractional coordinates:
1 Y 0.0000 0.0000 0.0000 (multiplicity 1)  4 As 2.93
2 Hg 0.0000 0.5000 0.5000 (multiplicity 2)  4 Hg 2.93
3 As 0.5000 0.5000 0.0000 (multiplicity 1)  4 Y 2.93

Summary:
* DOS(E_F): 0.252 states/eV/atom
* calculated formation energy: -623 meV/atom
* calculated total energy: -0.1429 hartree per atom
* crystal system: tetragonal



# 3
Density functional theory data (PBEsol) for an optimized crystal structure of SrZrTaN2.

Lattice parameters (Å, degrees): 4.1156 4.1156 5.6730 90.00 90.00 90.00
Last column: nearest neighbours and their distance in Å.
Space group P4/mmm (No. 123)
Inequivalent atoms, fractional coordinates:
1 Sr 0.0000 0.0000 0.0000 (multiplicity 1)  2 Ta 2.84, 4 Zr 2.91
2 Zr 0.5000 0.5000 0.0000 (multiplicity 1)  4 Sr 2.91
3 Ta 0.0000 0.0000 0.5000 (multiplicity 1)  4 N 2.06
4 N 0.0000 0.5000 0.5000 (multiplicity 2)  2 Ta 2.06

Summary:
* DOS(E_F): 1.147 states/eV/atom
* calculated total energy: -0.2574 hartree per atom
* crystal system: tetragonal
* formation energy from raw total energies: 1.103 eV per atom